1.
A plane-wave DFT calculation with PBE was carried out for La2BiOs after structural relaxation.

As for the space-group type: I-42d, No. 122.

Structure (POSCAR):
```
La2BiOs
1.0
-3.321 -4.766 -6.066
4.311 -6.624 2.843
-2.041 -6.484 0.397
Os Bi La
2 2 4
direct
0.500 0.500 0.000
0.250 0.750 0.500
0.000 0.000 0.000
0.750 0.250 0.500
0.558 0.125 0.250
0.192 0.625 0.250
0.375 0.442 0.750
0.875 0.808 0.750
```

***

2.
A plane-wave DFT calculation with PBE was carried out for CdAs5 after structural relaxation.

As for the space-group type: Cmmm, No. 65. Its energy above the most stable polymorph in this dataset is 0.00 eV/f.u.

Structure (POSCAR):
```
CdAs5
1.0
1.934 -6.058 0.000
1.934 6.058 0.000
0.000 0.000 5.514
Cd As
1 5
direct
0.056 0.944 0.500
0.055 0.945 0.000
0.384 0.616 0.000
0.727 0.273 0.000
0.374 0.626 0.500
0.738 0.262 0.500
```

***

3.
A plane-wave DFT calculation with PBE was carried out for RbTi3In after structural relaxation.

As for the space-group type: Pm-3m, No. 221. Its energy above the most stable polymorph in this dataset is 3.02 eV/f.u.

Structure (POSCAR):
```
RbTi3In
1.0
-1.366 -3.635 -2.715
0.124 -2.865 3.773
-4.536 1.016 0.921
Ti Rb In
3 1 1
direct
0.000 0.500 0.000
0.000 0.000 0.500
0.500 0.000 0.000
0.000 0.000 0.000
0.500 0.500 0.500
```

***

no.,DFT total energy (eV per atom)
1,-6.441
2,-3.933
3,-3.623